This record from the Alexandria database describes a relaxed BaMoRuO6 crystal. The functional is PBE with a Hubbard U.

For the final energy, the calculation gives -7.037 eV/atom. As for the space-group type: P312. Its crystal system is trigonal.

Cell lengths 5.370, 5.370, 5.685 Å; angles 90.00, 90.00, 60.00 degrees
Site moments in Bohr magnetons follow the coordinates.
Positions (direct):
Ba 0.000 0.000 0.000  0.01
Mo 0.333 0.333 0.500  -0.08
Ru 0.667 0.667 0.500  1.45
O 0.006 0.385 0.310  0.08
O 0.385 0.006 0.690  0.08
O 0.608 0.385 0.690  0.08
O 0.006 0.608 0.690  0.08
O 0.385 0.608 0.310  0.08
O 0.608 0.006 0.310  0.08